## w
The following is a PBE calculation of AgHg2F6 after structural relaxation, from the Alexandria database.

Cell: 6.0146 6.0146 4.6728 Å, 90.00 90.00 120.00°
Space group P-31m (No. 162)
Unique sites:
Ag  0.0000  0.0000  0.0000 [1 per cell]
Hg  0.3333  0.6667  0.5000 [2 per cell]
F  0.0000  0.3243  0.7476 [6 per cell]

**M_tot**: 1.0 μB/cell



## x
The following is a PBE calculation of AgHg2F6 after structural relaxation, from the Alexandria database.

Cell: 5.108 5.108 11.619 Å, 90.00 90.00 90.00°
Space group P4_2/mnm (No. 136)
Unique sites:
Ag  0.000  0.000  0.000 [2 per cell]
Hg  0.000  0.000  0.334 [4 per cell]
F  0.199  0.199  0.164 [8 per cell]
F  0.211  0.211  0.500 [4 per cell]

**M_tot**: 1.8 μB/cell



Which structure is the least stable? The one labeled w.



## w
The following is a PBE calculation of Ag4HgF7 after structural relaxation, from the Alexandria database.

Cell: 11.926 4.601 8.341 Å, 90.00 119.69 90.00°
Space group C2/m (No. 12)
Unique sites:
Ag  0.077  0.000  0.245 [4 per cell]
Ag  0.193  0.500  0.100 [4 per cell]
Hg  0.000  0.500  0.500 [2 per cell]
F  0.000  0.000  0.500 [2 per cell]
F  0.058  0.500  0.228 [4 per cell]
F  0.134  0.000  0.941 [4 per cell]
F  0.212  0.500  0.659 [4 per cell]

**M_tot**: 0.0 μB/cell



## x
The following is a PBE calculation of Ag4HgF7 after structural relaxation, from the Alexandria database.

Cell: 11.471 3.418 10.083 Å, 90.00 108.00 90.00°
Space group Cm (No. 8)
Unique sites:
Ag  0.000  0.000  0.000 [2 per cell]
Ag  0.090  0.500  0.370 [2 per cell]
Ag  0.294  0.000  0.193 [2 per cell]
Ag  0.407  0.000  0.596 [2 per cell]
Hg  0.192  0.000  0.773 [2 per cell]
F  0.050  0.000  0.557 [2 per cell]
F  0.059  0.500  0.816 [2 per cell]
F  0.142  0.500  0.125 [2 per cell]
F  0.241  0.000  0.405 [2 per cell]
F  0.309  0.500  0.709 [2 per cell]
F  0.346  0.000  0.980 [2 per cell]
F  0.447  0.500  0.256 [2 per cell]

**M_tot**: 1.5 μB/cell



Which structure is the least stable? The one labeled w.



## w
The following is a PBE calculation of AgHg2F2 after structural relaxation, from the Alexandria database.

Cell: 3.189 5.523 5.650 Å, 85.02 84.30 80.01°
Space group P-1 (No. 2)
Unique sites:
Ag  0.000  0.000  0.000 [1 per cell]
Hg  0.365  0.291  0.275 [2 per cell]
F  0.195  0.706  0.387 [2 per cell]

**M_tot**: 0.0 μB/cell



## x
The following is a PBE calculation of AgHg2F2 after structural relaxation, from the Alexandria database.

Cell: 7.500 7.500 3.030 Å, 90.00 90.00 90.00°
Space group P4/mbm (No. 127)
Unique sites:
Ag  0.000  0.000  0.000 [2 per cell]
Hg  0.165  0.335  0.500 [4 per cell]
F  0.127  0.627  0.000 [4 per cell]

**M_tot**: 0.0 μB/cell



Which structure is the least stable? The one labeled x.



## w
The following is a PBE calculation of Ag5Hg2F12 after structural relaxation, from the Alexandria database.

Cell: 12.012 6.616 8.327 Å, 90.00 100.04 90.00°
Space group C2/m (No. 12)
Unique sites:
Ag  0.000  0.000  0.000 [2 per cell]
Ag  0.156  0.500  0.849 [4 per cell]
Ag  0.212  0.500  0.218 [4 per cell]
Hg  0.000  0.239  0.500 [4 per cell]
F  0.032  0.000  0.315 [4 per cell]
F  0.044  0.500  0.337 [4 per cell]
F  0.125  0.261  0.017 [8 per cell]
F  0.184  0.266  0.681 [8 per cell]

**M_tot**: 1.8 μB/cell



## x
The following is a PBE calculation of Ag5Hg2F12 after structural relaxation, from the Alexandria database.

Cell: 12.099 7.029 7.644 Å, 90.00 109.81 90.00°
Space group C2/m (No. 12)
Unique sites:
Ag  0.000  0.000  0.000 [2 per cell]
Ag  0.183  0.500  0.917 [4 per cell]
Ag  0.232  0.500  0.432 [4 per cell]
Hg  0.000  0.253  0.500 [4 per cell]
F  0.037  0.500  0.300 [4 per cell]
F  0.081  0.000  0.376 [4 per cell]
F  0.119  0.199  0.983 [8 per cell]
F  0.191  0.284  0.658 [8 per cell]

**M_tot**: 2.2 μB/cell



Which structure is the least stable? The one labeled x.



## w
The following is a PBE calculation of Ag2HgF after structural relaxation, from the Alexandria database.

Cell: 3.022 8.750 5.537 Å, 90.00 90.00 90.00°
Space group Amm2 (No. 38)
Unique sites:
Ag  0.000  0.211  0.000 [4 per cell]
Hg  0.500  0.000  0.333 [2 per cell]
F  0.000  0.000  0.735 [2 per cell]

**M_tot**: 0.0 μB/cell



## x
The following is a PBE calculation of Ag2HgF after structural relaxation, from the Alexandria database.

Cell: 4.7686 4.7686 17.0147 Å, 90.00 90.00 120.00°
Space group R-3m (No. 166, hexagonal axes)
Unique sites:
Ag  0.0000  0.0000  0.1289 [6 per cell]
Hg  0.0000  0.0000  0.5000 [3 per cell]
F  0.0000  0.0000  0.0000 [3 per cell]

**M_tot**: 0.0 μB/cell



## y
The following is a PBE calculation of Ag2HgF after structural relaxation, from the Alexandria database.

Cell: 3.2056 3.2056 24.0655 Å, 90.00 90.00 120.00°
Space group R3m (No. 160, hexagonal axes)
Unique sites:
Ag  0.0000  0.0000  0.0000 [3 per cell]
Ag  0.0000  0.0000  0.1899 [3 per cell]
Hg  0.0000  0.0000  0.7617 [3 per cell]
F  0.0000  0.0000  0.5945 [3 per cell]

**M_tot**: 0.0 μB/cell



Which structure is the least stable? The one labeled x.



## w
The following is a PBE calculation of Ag2HgF after structural relaxation, from the Alexandria database.

Cell: 6.609 6.609 6.609 Å, 90.00 90.00 90.00°
Space group Fm-3m (No. 225)
Unique sites:
Ag  0.250  0.250  0.250 [8 per cell]
Hg  0.000  0.000  0.000 [4 per cell]
F  0.000  0.000  0.500 [4 per cell]

**M_tot**: 0.0 μB/cell



## x
The following is a PBE calculation of Ag2HgF after structural relaxation, from the Alexandria database.

Cell: 3.047 3.047 7.414 Å, 90.00 90.00 90.00°
Space group P4/mmm (No. 123)
Unique sites:
Ag  0.000  0.000  0.213 [2 per cell]
Hg  0.500  0.500  0.500 [1 per cell]
F  0.500  0.500  0.000 [1 per cell]

**M_tot**: 0.0 μB/cell



## y
The following is a PBE calculation of Ag2HgF after structural relaxation, from the Alexandria database.

Cell: 7.158 7.158 5.791 Å, 90.00 90.00 90.00°
Space group I-42d (No. 122)
Unique sites:
Ag  0.205  0.250  0.125 [8 per cell]
Hg  0.000  0.000  0.500 [4 per cell]
F  0.000  0.000  0.000 [4 per cell]

**M_tot**: 0.0 μB/cell



Which structure is the least stable? The one labeled w.